# 1
# PmHo7Er12

A geometry-optimized PmHo7Er12 structure (GGA-PBE, the Alexandria database).

Cell lengths 9.682, 9.682, 9.682 Å; angles 109.47, 109.47, 109.47 degrees
Sites, in units of the cell vectors:
Ho  0.500  0.000  0.500
Ho  0.000  0.500  0.000
Er  0.254  0.999  0.745
Er  0.745  0.746  0.491
Pm  0.000  0.000  0.000
Er  0.254  0.509  0.255
Er  0.255  0.746  0.001
Er  0.745  0.254  0.999
Er  0.491  0.745  0.746
Er  0.746  0.001  0.255
Er  0.509  0.255  0.254
Ho  0.500  0.500  0.500
Er  0.746  0.491  0.745
Ho  0.000  0.500  0.500
Ho  0.500  0.500  0.000
Er  0.255  0.254  0.509
Er  0.999  0.745  0.254
Ho  0.500  0.000  0.000
Ho  0.000  0.000  0.500
Er  0.001  0.255  0.746

Output
* energy of formation: 730 meV/atom
* distance to the lowest polymorph of the same formula: 419.9 meV/atom
* VASP energy: -3.847 eV per atom

=====

# 2
# Nd3YTm2As6

A geometry-optimized Nd3YTm2As6 structure (GGA-PBE, the Alexandria database).

Cell lengths 7.242, 7.242, 7.232 Å; angles 99.60, 99.60, 119.99 degrees
Sites, in units of the cell vectors:
As  0.585  0.920  0.761
As  0.920  0.585  0.761
Nd  0.166  0.834  0.500
Nd  0.500  0.500  0.500
As  0.256  0.256  0.762
As  0.415  0.080  0.239
Tm  0.333  0.667  0.000
Nd  0.834  0.166  0.500
Y  0.000  0.000  0.000
As  0.744  0.744  0.238
Tm  0.667  0.333  0.000
As  0.080  0.415  0.239

Output
* energy of formation: -1508 meV/atom
* VASP energy: -6.309 eV per atom

=====

# 3
# Ba2ReSnO6

A geometry-optimized Ba2ReSnO6 structure (GGA-PBE, the Alexandria database).

Cell lengths 5.575, 5.543, 6.847 Å; angles 65.68, 63.79, 91.48 degrees
Sites, in units of the cell vectors:
Ba  0.259  0.747  0.489
Ba  0.741  0.253  0.511
O  0.694  0.238  0.002
O  0.694  0.643  0.123
Re  0.500  0.500  0.000
O  0.306  0.357  0.877
Sn  0.000  0.000  0.000
O  0.149  0.134  0.638
O  0.851  0.866  0.362
O  0.306  0.762  0.998

Output
* VASP energy: -6.938 eV per atom

=====

# 4
# DyCo22B6

A geometry-optimized DyCo22B6 structure (GGA-PBE, the Alexandria database).

Cell lengths 7.462, 7.462, 7.462 Å; angles 60.00, 60.00, 60.00 degrees
Sites, in units of the cell vectors:
Co  0.144  0.619  0.619
B  0.273  0.727  0.273
Co  0.381  0.381  0.381
Co  0.250  0.250  0.250
Co  0.000  0.349  0.651
B  0.273  0.273  0.727
Co  0.619  0.619  0.619
Co  0.349  0.651  0.000
Co  0.619  0.144  0.619
Dy  0.000  0.000  0.000
Co  0.000  0.651  0.349
Co  0.000  0.000  0.349
Co  0.000  0.651  0.000
B  0.727  0.273  0.273
Co  0.856  0.381  0.381
B  0.727  0.727  0.273
Co  0.349  0.000  0.651
B  0.273  0.727  0.727
Co  0.381  0.381  0.856
Co  0.619  0.619  0.144
Co  0.000  0.349  0.000
Co  0.349  0.000  0.000
Co  0.381  0.856  0.381
Co  0.651  0.000  0.349
Co  0.651  0.349  0.000
Co  0.750  0.750  0.750
Co  0.000  0.000  0.651
Co  0.651  0.000  0.000
B  0.727  0.273  0.727

Output
* energy of formation: -110 meV/atom
* VASP energy: -7.041 eV per atom

=====

# 5
# Dy2ThBi

A geometry-optimized Dy2ThBi structure (GGA-PBE, the Alexandria database).

Cell lengths 3.638, 3.638, 10.959 Å; angles 80.45, 80.45, 60.00 degrees
Sites, in units of the cell vectors:
Dy  0.747  0.747  0.760
Bi  0.000  0.000  0.000
Dy  0.253  0.253  0.240
Th  0.500  0.500  0.500

Output
* energy of formation: -219 meV/atom
* distance to the lowest polymorph of the same formula: 135.8 meV/atom
* VASP energy: -5.345 eV per atom

=====

# 6
# Ca2SmTaN4

A geometry-optimized Ca2SmTaN4 structure (GGA-PBE, the Alexandria database).

Cell lengths 3.359, 5.924, 5.963 Å; angles 109.31, 90.00, 90.00 degrees
Sites, in units of the cell vectors:
N  0.000  0.778  0.216
N  0.500  0.216  0.216
Ta  0.000  0.000  0.000
Ca  0.000  0.500  0.500
Ca  0.500  0.000  0.500
N  0.500  0.784  0.784
N  0.000  0.222  0.784
Sm  0.500  0.500  0.000

Output
* VASP energy: -7.957 eV per atom

=====

# 7
# Rb2SnSe

A geometry-optimized Rb2SnSe structure (GGA-PBE, the Alexandria database).

Cell lengths 6.051, 6.051, 6.051 Å; angles 60.00, 60.00, 60.00 degrees
Sites, in units of the cell vectors:
Rb  0.250  0.250  0.250
Se  0.000  0.000  0.000
Rb  0.750  0.750  0.750
Sn  0.500  0.500  0.500

Output
* distance to the lowest polymorph of the same formula: 146.4 meV/atom
* VASP energy: -2.528 eV per atom

=====

# 8
# La2ScNb2

A geometry-optimized La2ScNb2 structure (GGA-PBE, the Alexandria database).

Cell lengths 7.650, 7.650, 4.645 Å; angles 90.00, 90.00, 90.00 degrees
Sites, in units of the cell vectors:
Nb  0.119  0.381  0.000
La  0.821  0.321  0.500
Nb  0.619  0.119  0.000
Sc  0.500  0.500  0.000
Nb  0.381  0.881  0.000
La  0.679  0.821  0.500
Nb  0.881  0.619  0.000
Sc  0.000  0.000  0.000
La  0.179  0.679  0.500
La  0.321  0.179  0.500

Output
* energy of formation: 420 meV/atom
* VASP energy: -6.846 eV per atom

=====

# 9
# Tb2Ga4Ir3Pd

A geometry-optimized Tb2Ga4Ir3Pd structure (GGA-PBE, the Alexandria database).

Cell lengths 4.183, 4.183, 10.536 Å; angles 90.00, 90.00, 90.00 degrees
Sites, in units of the cell vectors:
Pd  0.500  0.500  0.500
Ir  0.000  0.000  0.500
Ga  0.500  0.000  0.630
Tb  0.000  0.500  0.748
Ga  0.500  0.500  0.000
Ga  0.000  0.500  0.370
Ir  0.500  0.000  0.863
Ir  0.000  0.500  0.137
Tb  0.500  0.000  0.252
Ga  0.000  0.000  0.000

Output
* energy of formation: -735 meV/atom
* VASP energy: -6.049 eV per atom

=====

# 10
# Y4Tm3Pd4

A geometry-optimized Y4Tm3Pd4 structure (GGA-PBE, the Alexandria database).

Cell lengths 3.810, 9.183, 9.319 Å; angles 119.52, 101.79, 90.00 degrees
Sites, in units of the cell vectors:
Pd  0.500  0.166  0.000
Y  0.339  0.154  0.678
Y  0.661  0.846  0.322
Tm  0.000  0.500  0.000
Tm  0.107  0.107  0.214
Y  0.339  0.524  0.678
Pd  0.500  0.834  0.000
Pd  0.251  0.751  0.502
Pd  0.749  0.249  0.498
Y  0.661  0.476  0.322
Tm  0.893  0.893  0.786

Output
* energy of formation: -592 meV/atom
* VASP energy: -6.051 eV per atom

=====

# 11
# Nd12CoCu6

A geometry-optimized Nd12CoCu6 structure (GGA-PBE, the Alexandria database).

Cell lengths 8.067, 8.067, 8.067 Å; angles 92.94, 92.94, 92.94 degrees
Sites, in units of the cell vectors:
Nd  0.958  0.083  0.317
Nd  0.426  0.546  0.192
Cu  0.147  0.741  0.351
Cu  0.741  0.351  0.147
Cu  0.853  0.259  0.649
Nd  0.083  0.317  0.958
Nd  0.683  0.042  0.917
Nd  0.574  0.454  0.808
Cu  0.351  0.147  0.741
Cu  0.649  0.853  0.259
Nd  0.317  0.958  0.083
Nd  0.192  0.426  0.546
Nd  0.042  0.917  0.683
Co  0.000  0.000  0.000
Nd  0.546  0.192  0.426
Nd  0.808  0.574  0.454
Nd  0.454  0.808  0.574
Cu  0.259  0.649  0.853
Nd  0.917  0.683  0.042

Output
* energy of formation: 2 meV/atom
* VASP energy: -4.676 eV per atom

=====

# 12
# Nd6Pt2RhBr3

A geometry-optimized Nd6Pt2RhBr3 structure (GGA-PBE, the Alexandria database).

Cell lengths 4.198, 9.157, 10.079 Å; angles 109.63, 102.02, 90.00 degrees
Sites, in units of the cell vectors:
Nd  0.989  0.783  0.978
Rh  0.500  0.000  0.000
Pt  0.167  0.334  0.334
Nd  0.348  0.891  0.696
Br  0.500  0.500  0.000
Pt  0.833  0.666  0.666
Nd  0.011  0.217  0.022
Br  0.834  0.169  0.667
Nd  0.652  0.109  0.304
Nd  0.323  0.445  0.646
Nd  0.677  0.555  0.354
Br  0.166  0.831  0.333

Output
* VASP energy: -5.610 eV per atom

=====

# 13
# Pr3ReSe2O6

A geometry-optimized Pr3ReSe2O6 structure (GGA-PBE, the Alexandria database).

Cell lengths 5.289, 6.871, 7.164 Å; angles 118.65, 84.92, 90.00 degrees
Sites, in units of the cell vectors:
O  0.706  0.258  0.100
O  0.294  0.742  0.900
Re  0.500  0.000  0.000
O  0.661  0.858  0.716
Pr  0.500  0.500  0.500
O  0.339  0.142  0.284
Se  0.086  0.715  0.430
Pr  0.500  0.000  0.500
Se  0.914  0.285  0.570
Pr  0.000  0.500  0.000
O  0.706  0.842  0.100
O  0.294  0.158  0.900

Output
* VASP energy: -7.267 eV per atom

=====

# 14
# CaTbTeAs

A geometry-optimized CaTbTeAs structure (GGA-PBE, the Alexandria database).

Cell lengths 4.300, 4.300, 7.610 Å; angles 73.59, 73.59, 60.00 degrees
Sites, in units of the cell vectors:
Te  0.502  0.502  0.494
Tb  0.260  0.260  0.219
As  0.996  0.996  0.012
Ca  0.742  0.742  0.775

Output
* VASP energy: -5.115 eV per atom

=====

# 15
# KTi2I8

A geometry-optimized KTi2I8 structure (GGA-PBE, the Alexandria database).

Cell lengths 7.677, 9.541, 9.541 Å; angles 70.73, 81.12, 81.12 degrees
Sites, in units of the cell vectors:
I  0.326  0.799  0.799
Ti  0.664  0.800  0.800
I  0.747  0.074  0.690
I  0.839  0.642  0.642
I  0.161  0.358  0.358
Ti  0.336  0.200  0.200
I  0.253  0.310  0.926
K  0.000  0.000  0.000
I  0.674  0.201  0.201
I  0.253  0.926  0.310
I  0.747  0.690  0.074

Output
* VASP energy: -3.507 eV per atom

=====

# 16
# CsYAu3

A geometry-optimized CsYAu3 structure (GGA-PBE, the Alexandria database).

Cell lengths 5.677, 5.677, 5.677 Å; angles 90.00, 90.00, 90.00 degrees
Sites, in units of the cell vectors:
Au  0.000  0.500  0.000
Y  0.000  0.000  0.000
Cs  0.500  0.500  0.500
Au  0.000  0.000  0.500
Au  0.500  0.000  0.000

Output
* energy of formation: -190 meV/atom
* distance to the lowest polymorph of the same formula: 0.0 meV/atom
* VASP energy: -3.620 eV per atom

=====

# 17
# Ce4Ga2Ag

A geometry-optimized Ce4Ga2Ag structure (GGA-PBE, the Alexandria database).

Cell lengths 5.234, 5.234, 7.503 Å; angles 69.59, 69.59, 60.00 degrees
Sites, in units of the cell vectors:
Ce  0.265  0.265  0.204
Ag  0.000  0.000  0.000
Ga  0.875  0.875  0.374
Ce  0.596  0.596  0.213
Ga  0.125  0.125  0.626
Ce  0.404  0.404  0.787
Ce  0.735  0.735  0.796

Output
* energy of formation: -119 meV/atom
* VASP energy: -4.782 eV per atom

=====

# 18
# MgOs2Se

A geometry-optimized MgOs2Se structure (GGA-PBE, the Alexandria database).

Cell lengths 7.381, 7.381, 5.825 Å; angles 50.68, 50.68, 90.00 degrees
Sites, in units of the cell vectors:
Os  0.875  0.947  0.750
Mg  0.500  0.500  0.000
Os  0.697  0.125  0.250
Os  0.375  0.303  0.750
Se  0.750  0.250  0.500
Os  0.053  0.625  0.250
Mg  0.250  0.750  0.500
Se  0.000  0.000  0.000

Output
* distance to the lowest polymorph of the same formula: 625.3 meV/atom
* VASP energy: -6.116 eV per atom

=====

# 19
# Zr4BiN

A geometry-optimized Zr4BiN structure (GGA-PBE, the Alexandria database).

Cell lengths 7.182, 10.185, 6.122 Å; angles 112.33, 86.89, 140.39 degrees
Sites, in units of the cell vectors:
Bi  0.398  0.648  0.295
Zr  0.804  0.446  0.247
Bi  0.602  0.352  0.705
Zr  0.196  0.554  0.753
Zr  0.182  0.224  0.254
Zr  0.818  0.776  0.746
Zr  0.572  0.030  0.254
N  0.707  0.957  0.913
N  0.293  0.043  0.087
Zr  0.942  0.801  0.247
Zr  0.058  0.199  0.753
Zr  0.428  0.970  0.746

Output
* VASP energy: -8.218 eV per atom

=====

# 20
# LiPaIr4

A geometry-optimized LiPaIr4 structure (GGA-PBE, the Alexandria database).

Cell lengths 5.268, 5.268, 5.268 Å; angles 60.00, 60.00, 60.00 degrees
Sites, in units of the cell vectors:
Ir  0.626  0.626  0.123
Pa  0.250  0.250  0.250
Ir  0.123  0.626  0.626
Li  0.000  0.000  0.000
Ir  0.626  0.123  0.626
Ir  0.626  0.626  0.626

Output
* energy of formation: -554 meV/atom
* VASP energy: -8.363 eV per atom